1.
This record from OQMD describes a relaxed structure of DyErSb2. The functional is GGA-PBE.

Final energy, eV/atom: -5.46

a = 4.363 Å, b = 4.363 Å, c = 6.170 Å
α = 90.00°, β = 90.00°, γ = 90.00°
Fractional positions:
1 Dy 0.000 0.000 0.000
2 Er 0.500 0.500 0.500
3 Sb 0.000 0.000 0.500
4 Sb 0.500 0.500 0.000

2.
This record from OQMD describes a relaxed structure of DyErSb. The functional is GGA-PBE.

Final energy, eV/atom: -4.93

a = 5.039 Å, b = 5.039 Å, c = 5.039 Å
α = 60.00°, β = 60.00°, γ = 60.00°
Fractional positions:
1 Dy 0.000 0.000 0.000
2 Er 0.500 0.500 0.500
3 Sb 0.250 0.250 0.250

3.
This record from OQMD describes a relaxed structure of Dy2ErSb3. The functional is GGA-PBE.

Final energy, eV/atom: -5.47

a = 4.367 Å, b = 4.367 Å, c = 10.710 Å
α = 90.00°, β = 90.00°, γ = 120.00°
Fractional positions:
1 Dy 0.333 0.667 0.167
2 Dy 0.667 0.333 0.833
3 Er 0.000 0.000 0.500
4 Sb 0.000 0.000 0.000
5 Sb 0.333 0.667 0.666
6 Sb 0.667 0.333 0.334

4.
This record from OQMD describes a relaxed structure of DyErSc2Sb2. The functional is GGA-PBE.

Final energy, eV/atom: -5.83

a = 8.674 Å, b = 8.674 Å, c = 8.674 Å
α = 151.09°, β = 151.09°, γ = 41.34°
Fractional positions:
1 Dy 0.000 0.000 0.000
2 Er 0.648 0.648 0.000
3 Sc 0.324 0.824 0.500
4 Sc 0.824 0.324 0.500
5 Sb 0.192 0.192 0.000
6 Sb 0.456 0.456 0.000

5.
This record from OQMD describes a relaxed structure of DyErSc. The functional is GGA-PBE.

Energy relative to the lowest polymorph listed for this composition, meV per atom: 0.0
Final energy, eV/atom: -4.47

a = 5.217 Å, b = 5.217 Å, c = 5.217 Å
α = 60.00°, β = 60.00°, γ = 60.00°
Fractional positions:
1 Dy 0.000 0.000 0.000
2 Er 0.500 0.500 0.500
3 Sc 0.250 0.250 0.250

6.
This record from OQMD describes a relaxed structure of DyEr4Se5. The functional is GGA-PBE.

Final energy, eV/atom: -5.73

a = 14.592 Å, b = 14.592 Å, c = 14.592 Å
α = 164.13°, β = 164.13°, γ = 22.51°
Fractional positions:
1 Dy 0.000 0.000 0.000
2 Er 0.203 0.203 0.000
3 Er 0.402 0.402 0.000
4 Er 0.598 0.598 0.000
5 Er 0.797 0.797 0.000
6 Se 0.102 0.102 0.000
7 Se 0.302 0.302 0.000
8 Se 0.500 0.500 0.000
9 Se 0.698 0.698 0.000
10 Se 0.898 0.898 0.000

7.
This record from OQMD describes a relaxed structure of Dy6ErSe8. The functional is GGA-PBE.

Final energy, eV/atom: -5.83

a = 8.098 Å, b = 8.098 Å, c = 8.098 Å
α = 60.00°, β = 60.00°, γ = 60.00°
Fractional positions:
1 Dy 0.000 0.000 0.500
2 Dy 0.000 0.500 0.000
3 Dy 0.000 0.500 0.500
4 Dy 0.500 0.000 0.000
5 Dy 0.500 0.000 0.500
6 Dy 0.500 0.500 0.000
7 Er 0.000 0.000 0.000
8 Se 0.250 0.250 0.250
9 Se 0.252 0.252 0.748
10 Se 0.252 0.748 0.252
11 Se 0.252 0.748 0.748
12 Se 0.748 0.252 0.252
13 Se 0.748 0.252 0.748
14 Se 0.748 0.748 0.252
15 Se 0.750 0.750 0.750

8.
This record from OQMD describes a relaxed structure of DyEr3Si4. The functional is GGA-PBE.

Final energy, eV/atom: -5.83

a = 5.654 Å, b = 3.813 Å, c = 7.839 Å
α = 90.00°, β = 90.05°, γ = 90.00°
Fractional positions:
1 Dy 0.000 0.000 0.000
2 Er 0.271 0.000 0.500
3 Er 0.500 0.500 0.142
4 Er 0.771 0.500 0.642
5 Si 0.016 0.500 0.284
6 Si 0.256 0.500 0.782
7 Si 0.516 0.000 0.859
8 Si 0.755 0.000 0.360

9.
This record from OQMD describes a relaxed structure of Dy3ErSi4. The functional is GGA-PBE.

Final energy, eV/atom: -5.84

a = 5.685 Å, b = 3.824 Å, c = 7.881 Å
α = 90.00°, β = 90.02°, γ = 90.00°
Fractional positions:
1 Dy 0.000 0.000 0.000
2 Dy 0.230 0.500 0.358
3 Dy 0.500 0.500 0.858
4 Er 0.730 0.000 0.500
5 Si 0.244 0.000 0.641
6 Si 0.486 0.000 0.141
7 Si 0.744 0.500 0.217
8 Si 0.986 0.500 0.717

10.
This record from OQMD describes a relaxed structure of SmDyEr2Tl2. The functional is GGA-PBE.

Final energy, eV/atom: -4.11

a = 5.413 Å, b = 5.413 Å, c = 6.702 Å
α = 90.00°, β = 90.00°, γ = 120.00°
Fractional positions:
1 Sm 0.000 0.000 0.000
2 Dy 0.333 0.667 0.500
3 Er 0.667 0.333 0.255
4 Er 0.667 0.333 0.745
5 Tl 0.000 0.000 0.500
6 Tl 0.333 0.667 0.000

11.
This record from OQMD describes a relaxed structure of DyErSn4. The functional is GGA-PBE.

Final energy, eV/atom: -4.77

a = 4.340 Å, b = 8.446 Å, c = 8.446 Å
α = 30.34°, β = 90.00°, γ = 90.00°
Fractional positions:
1 Dy 0.000 0.000 0.000
2 Er 0.500 0.803 0.803
3 Sn 0.000 0.337 0.337
4 Sn 0.000 0.650 0.650
5 Sn 0.500 0.154 0.154
6 Sn 0.500 0.465 0.465

12.
This record from OQMD describes a relaxed structure of Dy2ErTc. The functional is GGA-PBE.

Final energy, eV/atom: -6.14

a = 6.235 Å, b = 6.235 Å, c = 9.130 Å
α = 90.00°, β = 90.00°, γ = 143.79°
Fractional positions:
1 Dy 0.143 0.857 0.566
2 Dy 0.143 0.857 0.934
3 Dy 0.857 0.143 0.066
4 Dy 0.857 0.143 0.434
5 Er 0.427 0.573 0.750
6 Er 0.573 0.427 0.250
7 Tc 0.239 0.761 0.250
8 Tc 0.761 0.239 0.750

13.
This record from OQMD describes a relaxed structure of DyErTc. The functional is GGA-PBE.

Final energy, eV/atom: -5.56

a = 4.746 Å, b = 4.746 Å, c = 4.746 Å
α = 60.00°, β = 60.00°, γ = 60.00°
Fractional positions:
1 Dy 0.000 0.000 0.000
2 Er 0.750 0.750 0.750
3 Tc 0.250 0.250 0.250

14.
This record from OQMD describes a relaxed structure of DyEr2Tc. The functional is GGA-PBE.

Final energy, eV/atom: -6.15

a = 6.226 Å, b = 6.226 Å, c = 9.083 Å
α = 90.00°, β = 90.00°, γ = 143.76°
Fractional positions:
1 Dy 0.072 0.928 0.750
2 Dy 0.928 0.072 0.250
3 Er 0.355 0.645 0.566
4 Er 0.355 0.645 0.934
5 Er 0.645 0.355 0.066
6 Er 0.645 0.355 0.434
7 Tc 0.261 0.739 0.250
8 Tc 0.739 0.261 0.750

15.
This record from OQMD describes a relaxed structure of DyErTe2. The functional is GGA-PBE.

Energy relative to the lowest polymorph listed for this composition, meV per atom: 186.7
Final energy, eV/atom: -4.94

a = 7.646 Å, b = 7.646 Å, c = 4.053 Å
α = 90.00°, β = 90.00°, γ = 90.00°
Fractional positions:
1 Dy 0.000 0.500 0.185
2 Dy 0.500 0.000 0.815
3 Er 0.000 0.000 0.000
4 Er 0.500 0.500 0.000
5 Te 0.216 0.284 0.681
6 Te 0.284 0.784 0.319
7 Te 0.716 0.216 0.319
8 Te 0.784 0.716 0.681

16.
This record from OQMD describes a relaxed structure of DyErTe2. The functional is GGA-PBE.

Energy relative to the lowest polymorph listed for this composition, meV per atom: 0.0
Final energy, eV/atom: -5.13

a = 4.180 Å, b = 4.180 Å, c = 7.653 Å
α = 90.00°, β = 90.00°, γ = 120.00°
Fractional positions:
1 Dy 0.000 0.000 0.000
2 Er 0.000 0.000 0.500
3 Te 0.333 0.667 0.747
4 Te 0.667 0.333 0.253

17.
This record from OQMD describes a relaxed structure of Dy2ErTe3. The functional is GGA-PBE.

Final energy, eV/atom: -5.12

a = 4.332 Å, b = 4.332 Å, c = 10.630 Å
α = 90.00°, β = 90.00°, γ = 120.00°
Fractional positions:
1 Dy 0.333 0.667 0.167
2 Dy 0.667 0.333 0.833
3 Er 0.000 0.000 0.500
4 Te 0.000 0.000 0.000
5 Te 0.333 0.667 0.664
6 Te 0.667 0.333 0.336

18.
This record from OQMD describes a relaxed structure of DyEr2Te3. The functional is GGA-PBE.

Final energy, eV/atom: -5.09

a = 4.321 Å, b = 4.321 Å, c = 10.601 Å
α = 90.00°, β = 90.00°, γ = 120.00°
Fractional positions:
1 Dy 0.000 0.000 0.000
2 Er 0.333 0.667 0.666
3 Er 0.667 0.333 0.334
4 Te 0.000 0.000 0.500
5 Te 0.333 0.667 0.169
6 Te 0.667 0.333 0.831

19.
This record from OQMD describes a relaxed structure of DyErTh. The functional is GGA-PBE.

Energy relative to the lowest polymorph listed for this composition, meV per atom: 0.0
Final energy, eV/atom: -4.73

a = 5.400 Å, b = 5.400 Å, c = 5.400 Å
α = 60.00°, β = 60.00°, γ = 60.00°
Fractional positions:
1 Dy 0.000 0.000 0.000
2 Er 0.250 0.250 0.250
3 Th 0.500 0.500 0.500

20.
This record from OQMD describes a relaxed structure of DyErTl4. The functional is GGA-PBE.

Final energy, eV/atom: -3.35

a = 4.663 Å, b = 7.645 Å, c = 7.645 Å
α = 35.66°, β = 90.00°, γ = 90.00°
Fractional positions:
1 Dy 0.000 0.000 0.000
2 Er 0.000 0.310 0.310
3 Tl 0.000 0.656 0.656
4 Tl 0.500 0.156 0.156
5 Tl 0.500 0.479 0.479
6 Tl 0.500 0.831 0.831

21.
This record from OQMD describes a relaxed structure of DyErTm2Zn2. The functional is GGA-PBE.

Final energy, eV/atom: -3.67

a = 5.166 Å, b = 8.270 Å, c = 8.270 Å
α = 24.84°, β = 90.00°, γ = 90.00°
Fractional positions:
1 Dy 0.000 0.000 0.000
2 Er 0.500 0.162 0.162
3 Tm 0.000 0.303 0.303
4 Tm 0.500 0.859 0.859
5 Zn 0.000 0.654 0.654
6 Zn 0.500 0.510 0.510

22.
This record from OQMD describes a relaxed structure of DyErW. The functional is GGA-PBE.

Final energy, eV/atom: -5.94

a = 4.880 Å, b = 4.880 Å, c = 4.880 Å
α = 60.00°, β = 60.00°, γ = 60.00°
Fractional positions:
1 Dy 0.000 0.000 0.000
2 Er 0.750 0.750 0.750
3 W 0.250 0.250 0.250

23.
This record from OQMD describes a relaxed structure of Dy2Y3Er3. The functional is GGA-PBE.

Final energy, eV/atom: -5.28

a = 5.606 Å, b = 7.224 Å, c = 7.224 Å
α = 59.97°, β = 90.00°, γ = 90.00°
Fractional positions:
1 Dy 0.000 0.000 0.000
2 Dy 0.500 0.333 0.333
3 Y 0.000 0.000 0.500
4 Y 0.000 0.500 0.000
5 Y 0.500 0.833 0.833
6 Er 0.000 0.500 0.500
7 Er 0.500 0.333 0.833
8 Er 0.500 0.833 0.333

24.
This record from OQMD describes a relaxed structure of Dy2Y3Er3. The functional is GGA-PBE.

Final energy, eV/atom: -5.28

a = 7.211 Å, b = 7.211 Å, c = 5.626 Å
α = 90.00°, β = 90.00°, γ = 120.00°
Fractional positions:
1 Dy 0.000 0.000 0.000
2 Dy 0.333 0.667 0.500
3 Y 0.500 0.001 0.000
4 Y 0.500 0.500 0.000
5 Y 0.999 0.500 0.000
6 Er 0.334 0.167 0.500
7 Er 0.833 0.167 0.500
8 Er 0.833 0.666 0.500

25.
This record from OQMD describes a relaxed structure of Dy2Y5Er. The functional is GGA-PBE.

Final energy, eV/atom: -5.76

a = 5.655 Å, b = 7.252 Å, c = 7.252 Å
α = 59.99°, β = 90.00°, γ = 90.00°
Fractional positions:
1 Dy 0.000 0.000 0.000
2 Dy 0.500 0.334 0.334
3 Y 0.000 0.000 0.501
4 Y 0.000 0.500 0.500
5 Y 0.000 0.501 0.000
6 Y 0.500 0.334 0.833
7 Y 0.500 0.833 0.334
8 Er 0.500 0.833 0.833

26.
This record from OQMD describes a relaxed structure of DyErZn6. The functional is GGA-PBE.

Final energy, eV/atom: -2.38

a = 4.657 Å, b = 6.562 Å, c = 4.658 Å
α = 90.00°, β = 90.00°, γ = 90.00°
Fractional positions:
1 Dy 0.000 0.000 0.000
2 Er 0.500 0.500 0.509
3 Zn 0.000 0.251 0.499
4 Zn 0.000 0.500 0.001
5 Zn 0.000 0.749 0.499
6 Zn 0.500 0.000 0.508
7 Zn 0.500 0.251 0.009
8 Zn 0.500 0.749 0.009

27.
This record from OQMD describes a relaxed structure of DyErZn4. The functional is GGA-PBE.

Final energy, eV/atom: -2.76

a = 5.614 Å, b = 5.614 Å, c = 5.614 Å
α = 133.28°, β = 102.30°, γ = 95.82°
Fractional positions:
1 Dy 0.000 0.000 0.000
2 Er 0.439 0.939 0.500
3 Zn 0.010 0.303 0.706
4 Zn 0.429 0.635 0.794
5 Zn 0.597 0.303 0.294
6 Zn 0.841 0.635 0.206